<one>
Here is crystalline Hf2MgHg at its relaxed geometry from Alexandria. Energies are from PBE.

Volume, Å³/atom: 23.0
Size of the total moment, μB/cell: 0.0
DOS at the Fermi energy, states/eV per cell: 17.57

CIF file:
```
data_Hf2MgHg
_chemical_formula_sum 'Hf8 Mg4 Hg4'
_space_group_name_H-M_alt 'I -4 2 d'
_space_group_IT_number 122
_space_group_name_Hall 'I -4 2bw'
_cell_length_a 8.042
_cell_length_b 8.042
_cell_length_c 5.694
_cell_angle_alpha 90.00
_cell_angle_beta 90.00
_cell_angle_gamma 90.00
loop_
_atom_site_label
_atom_site_fract_x
_atom_site_fract_y
_atom_site_fract_z
_atom_site_occupancy
Hf1 0.232 0.750 0.125 1
Mg1 0.000 0.000 0.500 1
Hg1 0.000 0.000 0.000 1
```

***

<two>
Here is crystalline Hf2MgHg at its relaxed geometry from Alexandria. Energies are from PBE.

Volume, Å³/atom: 21.1
Size of the total moment, μB/cell: 0.0
DOS at the Fermi energy, states/eV per cell: 6.39

CIF file:
```
data_Hf2MgHg
_chemical_formula_sum 'Hf8 Mg4 Hg4'
_space_group_name_H-M_alt 'F m -3 m'
_space_group_IT_number 225
_space_group_name_Hall '-F 4 2 3'
_cell_length_a 6.961
_cell_length_b 6.961
_cell_length_c 6.961
_cell_angle_alpha 90.00
_cell_angle_beta 90.00
_cell_angle_gamma 90.00
loop_
_atom_site_label
_atom_site_fract_x
_atom_site_fract_y
_atom_site_fract_z
_atom_site_occupancy
Hf1 0.250 0.250 0.250 1
Mg1 0.000 0.000 0.000 1
Hg1 0.000 0.000 0.500 1
```

***

Best to worst by energy: <two>, <one>.

***

<one>
Here is crystalline GeIrN at its relaxed geometry from Alexandria. Energies are from PBE.

Volume, Å³/atom: 17.0
Size of the total moment, μB/cell: 0.0
DOS at the Fermi energy, states/eV per cell: 1.72

CIF file:
```
data_GeIrN
_chemical_formula_sum 'Ge1 Ir1 N1'
_space_group_name_H-M_alt 'P 1 m 1'
_space_group_IT_number 6
_space_group_name_Hall 'P -2y'
_cell_length_a 2.751
_cell_length_b 5.024
_cell_length_c 3.695
_cell_angle_alpha 90.00
_cell_angle_beta 90.02
_cell_angle_gamma 90.00
loop_
_atom_site_label
_atom_site_fract_x
_atom_site_fract_y
_atom_site_fract_z
_atom_site_occupancy
Ge1 0.000 0.000 0.000 1
Ir1 0.995 0.500 0.234 1
N1 0.995 0.500 0.727 1
```

***

<two>
Here is crystalline GeIrN at its relaxed geometry from Alexandria. Energies are from PBE.

Volume, Å³/atom: 14.3
Size of the total moment, μB/cell: 0.0
DOS at the Fermi energy, states/eV per cell: 5.11

CIF file:
```
data_GeIrN
_chemical_formula_sum 'Ge2 Ir2 N2'
_space_group_name_H-M_alt 'I m m 2'
_space_group_IT_number 44
_space_group_name_Hall 'I 2 -2'
_cell_length_a 2.834
_cell_length_b 2.944
_cell_length_c 10.248
_cell_angle_alpha 90.00
_cell_angle_beta 90.00
_cell_angle_gamma 90.00
loop_
_atom_site_label
_atom_site_fract_x
_atom_site_fract_y
_atom_site_fract_z
_atom_site_occupancy
Ge1 0.000 0.000 0.000 1
Ir1 0.000 0.500 0.302 1
N1 0.000 0.500 0.112 1
```

***

Best to worst by energy: <two>, <one>.

***

<one>
Here is crystalline LiTaRu2 at its relaxed geometry from Alexandria. Energies are from PBE.

Volume, Å³/atom: 14.4
Size of the total moment, μB/cell: 0.0
DOS at the Fermi energy, states/eV per cell: 4.27

CIF file:
```
data_LiTaRu2
_chemical_formula_sum 'Li1 Ta1 Ru2'
_space_group_name_H-M_alt 'P 4/m m m'
_space_group_IT_number 123
_space_group_name_Hall '-P 4 2'
_cell_length_a 4.288
_cell_length_b 4.288
_cell_length_c 3.141
_cell_angle_alpha 90.00
_cell_angle_beta 90.00
_cell_angle_gamma 90.00
loop_
_atom_site_label
_atom_site_fract_x
_atom_site_fract_y
_atom_site_fract_z
_atom_site_occupancy
Li1 0.000 0.000 0.000 1
Ta1 0.500 0.500 0.000 1
Ru1 0.000 0.500 0.500 1
```

***

<two>
Here is crystalline LiTaRu2 at its relaxed geometry from Alexandria. Energies are from PBE.

Volume, Å³/atom: 14.6
Size of the total moment, μB/cell: 0.0
DOS at the Fermi energy, states/eV per cell: 6.31

CIF file:
```
data_LiTaRu2
_chemical_formula_sum 'Li2 Ta2 Ru4'
_space_group_name_H-M_alt 'C 1 m 1'
_space_group_IT_number 8
_space_group_name_Hall 'C -2y'
_cell_length_a 9.769
_cell_length_b 3.111
_cell_length_c 4.277
_cell_angle_alpha 90.00
_cell_angle_beta 115.93
_cell_angle_gamma 90.00
loop_
_atom_site_label
_atom_site_fract_x
_atom_site_fract_y
_atom_site_fract_z
_atom_site_occupancy
Li1 0.000 0.000 0.000 1
Ta1 0.269 0.500 0.270 1
Ru1 0.006 0.500 0.507 1
Ru2 0.251 0.000 0.752 1
```

***

Best to worst by energy: <one>, <two>.

***

<one>
Here is crystalline SrMn2Br at its relaxed geometry from Alexandria. Energies are from PBE.

Volume, Å³/atom: 27.2
Size of the total moment, μB/cell: 1.5
DOS at the Fermi energy, states/eV per cell: 8.35

CIF file:
```
data_SrMn2Br
_chemical_formula_sum 'Sr2 Mn4 Br2'
_space_group_name_H-M_alt 'C 1 m 1'
_space_group_IT_number 8
_space_group_name_Hall 'C -2y'
_cell_length_a 7.382
_cell_length_b 4.148
_cell_length_c 7.506
_cell_angle_alpha 90.00
_cell_angle_beta 108.98
_cell_angle_gamma 90.00
loop_
_atom_site_label
_atom_site_fract_x
_atom_site_fract_y
_atom_site_fract_z
_atom_site_occupancy
Sr1 0.000 0.000 0.000 1
Mn1 0.044 0.500 0.642 1
Mn2 0.226 0.000 0.680 1
Br1 0.422 0.000 0.280 1
```

***

<two>
Here is crystalline SrMn2Br at its relaxed geometry from Alexandria. Energies are from PBE.

Volume, Å³/atom: 26.5
Size of the total moment, μB/cell: 8.9
DOS at the Fermi energy, states/eV per cell: 4.01

CIF file:
```
data_SrMn2Br
_chemical_formula_sum 'Sr1 Mn2 Br1'
_space_group_name_H-M_alt 'P 4/m m m'
_space_group_IT_number 123
_space_group_name_Hall '-P 4 2'
_cell_length_a 3.522
_cell_length_b 3.522
_cell_length_c 8.530
_cell_angle_alpha 90.00
_cell_angle_beta 90.00
_cell_angle_gamma 90.00
loop_
_atom_site_label
_atom_site_fract_x
_atom_site_fract_y
_atom_site_fract_z
_atom_site_occupancy
Sr1 0.000 0.000 0.000 1
Mn1 0.500 0.500 0.281 1
Br1 0.000 0.000 0.500 1
```

***

Best to worst by energy: <one>, <two>.

***

<one>
Here is crystalline GdZrSc2 at its relaxed geometry from Alexandria. Energies are from PBE.

Volume, Å³/atom: 25.4
Size of the total moment, μB/cell: 6.9
DOS at the Fermi energy, states/eV per cell: 5.79

CIF file:
```
data_GdZrSc2
_chemical_formula_sum 'Gd1 Zr1 Sc2'
_space_group_name_H-M_alt 'P 4/m m m'
_space_group_IT_number 123
_space_group_name_Hall '-P 4 2'
_cell_length_a 4.685
_cell_length_b 4.685
_cell_length_c 4.624
_cell_angle_alpha 90.00
_cell_angle_beta 90.00
_cell_angle_gamma 90.00
loop_
_atom_site_label
_atom_site_fract_x
_atom_site_fract_y
_atom_site_fract_z
_atom_site_occupancy
Gd1 0.000 0.000 0.000 1
Zr1 0.500 0.500 0.000 1
Sc1 0.000 0.500 0.500 1
```

***

<two>
Here is crystalline GdZrSc2 at its relaxed geometry from Alexandria. Energies are from PBE.

Volume, Å³/atom: 25.8
Size of the total moment, μB/cell: 20.5
DOS at the Fermi energy, states/eV per cell: 17.14

CIF file:
```
data_GdZrSc2
_chemical_formula_sum 'Gd3 Zr3 Sc6'
_space_group_name_H-M_alt 'R -3 m'
_space_group_IT_number 166
_space_group_name_Hall '-R 3 2"'
_cell_length_a 3.2108
_cell_length_b 3.2108
_cell_length_c 34.6164
_cell_angle_alpha 90.00
_cell_angle_beta 90.00
_cell_angle_gamma 120.00
loop_
_atom_site_label
_atom_site_fract_x
_atom_site_fract_y
_atom_site_fract_z
_atom_site_occupancy
Gd1 0.0000 0.0000 0.0000 1
Zr1 0.0000 0.0000 0.5000 1
Sc1 0.0000 0.0000 0.4137 1
```

***

Best to worst by energy: <one>, <two>.

***

<one>
Here is crystalline PaGa2Sb at its relaxed geometry from Alexandria. Energies are from PBE.

Volume, Å³/atom: 21.6
Size of the total moment, μB/cell: 0.0
DOS at the Fermi energy, states/eV per cell: 4.21

CIF file:
```
data_PaGa2Sb
_chemical_formula_sum 'Pa1 Ga2 Sb1'
_space_group_name_H-M_alt 'P 4/m m m'
_space_group_IT_number 123
_space_group_name_Hall '-P 4 2'
_cell_length_a 4.412
_cell_length_b 4.412
_cell_length_c 4.444
_cell_angle_alpha 90.00
_cell_angle_beta 90.00
_cell_angle_gamma 90.00
loop_
_atom_site_label
_atom_site_fract_x
_atom_site_fract_y
_atom_site_fract_z
_atom_site_occupancy
Pa1 0.000 0.000 0.000 1
Ga1 0.000 0.500 0.500 1
Sb1 0.500 0.500 0.000 1
```

***

<two>
Here is crystalline PaGa2Sb at its relaxed geometry from Alexandria. Energies are from PBE.

Volume, Å³/atom: 22.0
Size of the total moment, μB/cell: 0.0
DOS at the Fermi energy, states/eV per cell: 4.87

CIF file:
```
data_PaGa2Sb
_chemical_formula_sum 'Pa1 Ga2 Sb1'
_space_group_name_H-M_alt 'P 4/m m m'
_space_group_IT_number 123
_space_group_name_Hall '-P 4 2'
_cell_length_a 3.732
_cell_length_b 3.732
_cell_length_c 6.305
_cell_angle_alpha 90.00
_cell_angle_beta 90.00
_cell_angle_gamma 90.00
loop_
_atom_site_label
_atom_site_fract_x
_atom_site_fract_y
_atom_site_fract_z
_atom_site_occupancy
Pa1 0.000 0.000 0.000 1
Ga1 0.500 0.500 0.269 1
Sb1 0.000 0.000 0.500 1
```

***

Best to worst by energy: <one>, <two>.

***

<one>
Here is crystalline BC2 at its relaxed geometry from Alexandria. Energies are from PBE.

Volume, Å³/atom: 6.4
Size of the total moment, μB/cell: 0.0
DOS at the Fermi energy, states/eV per cell: 2.10

CIF file:
```
data_BC2
_chemical_formula_sum 'B4 C8'
_space_group_name_H-M_alt 'P 1 2/m 1'
_space_group_IT_number 10
_space_group_name_Hall '-P 2y'
_cell_length_a 4.723
_cell_length_b 2.521
_cell_length_c 6.410
_cell_angle_alpha 90.00
_cell_angle_beta 91.21
_cell_angle_gamma 90.00
loop_
_atom_site_label
_atom_site_fract_x
_atom_site_fract_y
_atom_site_fract_z
_atom_site_occupancy
B1 0.051 0.000 0.375 1
B2 0.192 0.500 0.715 1
C1 0.168 0.500 0.968 1
C2 0.335 0.000 0.046 1
C3 0.352 0.000 0.290 1
C4 0.497 0.500 0.623 1
```

***

<two>
Here is crystalline BC2 at its relaxed geometry from Alexandria. Energies are from PBE.

Volume, Å³/atom: 6.4
Size of the total moment, μB/cell: 0.0
DOS at the Fermi energy, states/eV per cell: 2.42

CIF file:
```
data_BC2
_chemical_formula_sum 'B4 C8'
_space_group_name_H-M_alt 'P m m 2'
_space_group_IT_number 25
_space_group_name_Hall 'P 2 -2'
_cell_length_a 2.513
_cell_length_b 7.737
_cell_length_c 3.935
_cell_angle_alpha 90.00
_cell_angle_beta 90.00
_cell_angle_gamma 90.00
loop_
_atom_site_label
_atom_site_fract_x
_atom_site_fract_y
_atom_site_fract_z
_atom_site_occupancy
B1 0.000 0.000 0.000 1
B2 0.000 0.341 0.045 1
B3 0.500 0.000 0.331 1
C1 0.000 0.170 0.765 1
C2 0.000 0.500 0.769 1
C3 0.500 0.179 0.547 1
C4 0.500 0.336 0.315 1
C5 0.500 0.500 0.544 1
```

***

Best to worst by energy: <two>, <one>.

***

<one>
Here is crystalline SbRuCl2 at its relaxed geometry from Alexandria. Energies are from PBE.

Volume, Å³/atom: 20.5
Size of the total moment, μB/cell: 2.3
DOS at the Fermi energy, states/eV per cell: 4.36

CIF file:
```
data_SbRuCl2
_chemical_formula_sum 'Sb1 Ru1 Cl2'
_space_group_name_H-M_alt 'P 4/m m m'
_space_group_IT_number 123
_space_group_name_Hall '-P 4 2'
_cell_length_a 5.040
_cell_length_b 5.040
_cell_length_c 3.228
_cell_angle_alpha 90.00
_cell_angle_beta 90.00
_cell_angle_gamma 90.00
loop_
_atom_site_label
_atom_site_fract_x
_atom_site_fract_y
_atom_site_fract_z
_atom_site_occupancy
Sb1 0.000 0.000 0.000 1
Ru1 0.500 0.500 0.000 1
Cl1 0.000 0.500 0.500 1
```

***

<two>
Here is crystalline SbRuCl2 at its relaxed geometry from Alexandria. Energies are from PBE.

Volume, Å³/atom: 26.0
Size of the total moment, μB/cell: 0.0
DOS at the Fermi energy, states/eV per cell: 4.44

CIF file:
```
data_SbRuCl2
_chemical_formula_sum 'Sb2 Ru2 Cl4'
_space_group_name_H-M_alt 'I m m m'
_space_group_IT_number 71
_space_group_name_Hall '-I 2 2'
_cell_length_a 3.151
_cell_length_b 4.876
_cell_length_c 13.529
_cell_angle_alpha 90.00
_cell_angle_beta 90.00
_cell_angle_gamma 90.00
loop_
_atom_site_label
_atom_site_fract_x
_atom_site_fract_y
_atom_site_fract_z
_atom_site_occupancy
Sb1 0.000 0.000 0.000 1
Ru1 0.000 0.000 0.500 1
Cl1 0.000 0.500 0.139 1
```

***

Best to worst by energy: <two>, <one>.